[1]
A plane-wave DFT calculation with PBE was carried out for La2ZnInCo after structural relaxation.

Unit cell a=5.2226 b=5.2226 c=4.7846 alpha=90.00 beta=90.00 gamma=90.00
With the nearest neighbours (Å) after each atom.
Positions (direct):
La 0.0000 0.5000 0.0000  2 Co 2.61
La 0.5000 0.0000 0.0000  2 Co 2.61
Zn 0.0000 0.0000 0.5000  2 Co 2.39
In 0.5000 0.5000 0.5000  8 La 3.54, 4 Zn 3.69
Co 0.0000 0.0000 0.0000  2 Zn 2.39, 4 La 2.61

Results
- ΔE_f (meV per atom) = -276
- energy relative to the lowest polymorph listed for this composition (meV per atom) = 0.0
- V (A^3/atom) = 26.10
- total magnetic moment (μB per formula unit) = 0.00
- D(E_F) (states/eV per cell) = 3.32
- SG = No. 123

***

[2]
A plane-wave DFT calculation with PBE was carried out for Ac6TlAu5 after structural relaxation.

Unit cell a=9.6434 b=9.6434 c=5.5490 alpha=106.66 beta=106.66 gamma=48.80
With the nearest neighbours (Å) after each atom.
Positions (direct):
Ac 0.0731 0.5841 0.3286  7 Au 3.36-3.46, 1 Tl 3.51
Ac 0.2371 0.7629 0.0000  6 Au 3.36-3.38, 2 Tl 3.48
Ac 0.4159 0.9269 0.6714  7 Au 3.36-3.46, 1 Tl 3.51
Ac 0.5841 0.0731 0.3286  7 Au 3.36-3.46, 1 Tl 3.51
Ac 0.7629 0.2371 0.0000  6 Au 3.36-3.38, 2 Tl 3.48
Ac 0.9269 0.4159 0.6714  7 Au 3.36-3.46, 1 Tl 3.51
Tl 0.5000 0.5000 0.5000  8 Ac 3.48-3.51, 4 Au 3.82
Au 0.0000 0.0000 0.5000  8 Ac 3.36-3.46
Au 0.1680 0.1680 0.1678  8 Ac 3.36-3.39
Au 0.3423 0.3423 0.8430  8 Ac 3.36-3.45
Au 0.6577 0.6577 0.1570  8 Ac 3.36-3.45
Au 0.8320 0.8320 0.8322  8 Ac 3.36-3.39

Results
- ΔE_f (meV per atom) = -701
- V (A^3/atom) = 30.71
- total magnetic moment (μB per formula unit) = 0.00
- D(E_F) (states/eV per cell) = 6.41
- SG = No. 12

***

[3]
A plane-wave DFT calculation with PBE was carried out for GaHIrRu2 after structural relaxation.

Unit cell a=3.8946 b=3.8946 c=3.9507 alpha=90.00 beta=90.00 gamma=90.00
With the nearest neighbours (Å) after each atom.
Positions (direct):
Ga 0.0000 0.0000 0.0000  4 Ir 2.75, 8 Ru 2.77
H 0.5000 0.5000 0.5000  4 Ru 1.95, 2 Ir 1.98
Ir 0.5000 0.5000 0.0000  2 H 1.98
Ru 0.0000 0.5000 0.5000  2 H 1.95
Ru 0.5000 0.0000 0.5000  2 H 1.95

Results
- V (A^3/atom) = 11.98
- total energy (eV per atom) = -6.690
- total magnetic moment (μB per formula unit) = 0.00
- D(E_F) (states/eV per cell) = 6.30
- SG = No. 123

***

[4]
A plane-wave DFT calculation with PBE was carried out for MnOs2Pd after structural relaxation.

Unit cell a=6.1037 b=6.1037 c=6.1037 alpha=90.00 beta=90.00 gamma=90.00
With the nearest neighbours (Å) after each atom.
Positions (direct):
Mn 0.0000 0.0000 0.0000  8 Os 2.64
Mn 0.0000 0.5000 0.5000  8 Os 2.64
Mn 0.5000 0.0000 0.5000  8 Os 2.64
Mn 0.5000 0.5000 0.0000  8 Os 2.64
Os 0.2500 0.2500 0.2500  4 Mn 2.64, 4 Pd 2.64
Os 0.2500 0.2500 0.7500  4 Mn 2.64, 4 Pd 2.64
Os 0.2500 0.7500 0.2500  4 Mn 2.64, 4 Pd 2.64
Os 0.2500 0.7500 0.7500  4 Mn 2.64, 4 Pd 2.64
Os 0.7500 0.2500 0.2500  4 Mn 2.64, 4 Pd 2.64
Os 0.7500 0.2500 0.7500  4 Mn 2.64, 4 Pd 2.64
Os 0.7500 0.7500 0.2500  4 Mn 2.64, 4 Pd 2.64
Os 0.7500 0.7500 0.7500  4 Mn 2.64, 4 Pd 2.64
Pd 0.0000 0.0000 0.5000  8 Os 2.64
Pd 0.0000 0.5000 0.0000  8 Os 2.64
Pd 0.5000 0.0000 0.0000  8 Os 2.64
Pd 0.5000 0.5000 0.5000  8 Os 2.64

Results
- ΔE_f (meV per atom) = 495
- energy relative to the lowest polymorph listed for this composition (meV per atom) = 0.0
- V (A^3/atom) = 14.21
- total magnetic moment (μB per formula unit) = 2.46
- D(E_F) (states/eV per cell) = 23.55
- SG = No. 225

***

[5]
A plane-wave DFT calculation with PBE was carried out for CaLa2Ag4 after structural relaxation.

Unit cell a=9.0769 b=9.0769 c=9.0769 alpha=33.44 beta=33.44 gamma=33.44
With the nearest neighbours (Å) after each atom.
Positions (direct):
Ca 0.0000 0.0000 0.0000  8 Ag 3.12-3.16
La 0.2440 0.2440 0.2440  8 Ag 3.13-3.30
La 0.7560 0.7560 0.7560  8 Ag 3.13-3.30
Ag 0.1216 0.1216 0.1216  1 Ca 3.12, 4 La 3.13-3.15
Ag 0.3705 0.3705 0.3705  3 Ca 3.16, 4 La 3.25-3.30
Ag 0.6295 0.6295 0.6295  3 Ca 3.16, 4 La 3.25-3.30
Ag 0.8784 0.8784 0.8784  1 Ca 3.12, 4 La 3.13-3.15

Results
- ΔE_f (meV per atom) = -105
- V (A^3/atom) = 28.89
- total magnetic moment (μB per formula unit) = 0.00
- D(E_F) (states/eV per cell) = 7.15
- SG = No. 166

***

[6]
A plane-wave DFT calculation with PBE was carried out for NiH after structural relaxation.

Unit cell a=7.1480 b=7.1480 c=2.5736 alpha=90.00 beta=90.00 gamma=90.00
With the nearest neighbours (Å) after each atom.
Positions (direct):
Ni 0.1073 0.3530 0.0000  3 H 1.72-1.79
Ni 0.1888 0.6428 0.5000  4 H 1.68-1.75
Ni 0.3530 0.8927 0.0000  3 H 1.72-1.79
Ni 0.3572 0.1888 0.5000  4 H 1.68-1.75
Ni 0.6428 0.8112 0.5000  4 H 1.68-1.75
Ni 0.6470 0.1073 0.0000  3 H 1.72-1.79
Ni 0.8112 0.3572 0.5000  4 H 1.68-1.75
Ni 0.8927 0.6470 0.0000  3 H 1.72-1.79
H 0.1285 0.7815 0.0000  3 Ni 1.68-1.79
H 0.2185 0.1285 0.0000  3 Ni 1.68-1.79
H 0.2574 0.4075 0.5000  4 Ni 1.72-1.75
H 0.4075 0.7426 0.5000  4 Ni 1.72-1.75
H 0.5925 0.2574 0.5000  4 Ni 1.72-1.75
H 0.7426 0.5925 0.5000  4 Ni 1.72-1.75
H 0.7815 0.8715 0.0000  3 Ni 1.68-1.79
H 0.8715 0.2185 0.0000  3 Ni 1.68-1.79

Results
- V (A^3/atom) = 8.22
- total energy (eV per atom) = -4.523
- total magnetic moment (μB per formula unit) = 0.00
- D(E_F) (states/eV per cell) = 10.50
- SG = No. 83

***

[7]
A plane-wave DFT calculation with PBE was carried out for Li2Zn2Au after structural relaxation.

Unit cell a=7.5769 b=4.3995 c=5.1477 alpha=90.00 beta=119.24 gamma=90.00
With the nearest neighbours (Å) after each atom.
Positions (direct):
Li 0.2034 0.0000 0.1113  4 Zn 2.66-2.68, 3 Li 2.71-2.73, 1 Au 2.75
Li 0.2966 0.5000 0.8887  4 Zn 2.66-2.68, 3 Li 2.71-2.73, 1 Au 2.75
Li 0.7034 0.5000 0.1113  4 Zn 2.66-2.68, 3 Li 2.71-2.73, 1 Au 2.75
Li 0.7966 0.0000 0.8887  4 Zn 2.66-2.68, 3 Li 2.71-2.73, 1 Au 2.75
Zn 0.0971 0.5000 0.2918  1 Zn 2.62, 4 Li 2.66-2.68, 3 Au 2.70
Zn 0.4029 0.0000 0.7082  1 Zn 2.62, 4 Li 2.66-2.68, 3 Au 2.70
Zn 0.5971 0.0000 0.2918  1 Zn 2.62, 4 Li 2.66-2.68, 3 Au 2.70
Zn 0.9029 0.5000 0.7082  1 Zn 2.62, 4 Li 2.66-2.68, 3 Au 2.70
Au 0.0000 0.0000 0.5000  6 Zn 2.70, 2 Li 2.75
Au 0.5000 0.5000 0.5000  6 Zn 2.70, 2 Li 2.75

Results
- ΔE_f (meV per atom) = -371
- energy relative to the lowest polymorph listed for this composition (meV per atom) = 0.0
- V (A^3/atom) = 14.97
- total magnetic moment (μB per formula unit) = 0.00
- D(E_F) (states/eV per cell) = 2.25
- SG = No. 12

***

[8]
A plane-wave DFT calculation with PBE was carried out for Lu2TeO6 after structural relaxation.

Unit cell a=4.9091 b=4.9091 c=9.8712 alpha=90.00 beta=90.00 gamma=90.00
With the nearest neighbours (Å) after each atom.
Positions (direct):
Lu 0.0000 0.0000 0.1653  6 O 2.19-2.24
Lu 0.0000 0.0000 0.8347  6 O 2.19-2.24
Lu 0.5000 0.5000 0.3347  6 O 2.19-2.24
Lu 0.5000 0.5000 0.6653  6 O 2.19-2.24
Te 0.0000 0.0000 0.5000  6 O 1.96
Te 0.5000 0.5000 0.0000  6 O 1.96
O 0.1852 0.1852 0.3507  1 Te 1.96
O 0.1852 0.1852 0.6493  1 Te 1.96
O 0.2174 0.2174 0.0000  1 Te 1.96
O 0.2826 0.7174 0.5000  1 Te 1.96
O 0.3148 0.6852 0.1493  1 Te 1.96
O 0.3148 0.6852 0.8507  1 Te 1.96
O 0.6852 0.3148 0.1493  1 Te 1.96
O 0.6852 0.3148 0.8507  1 Te 1.96
O 0.7174 0.2826 0.5000  1 Te 1.96
O 0.7826 0.7826 0.0000  1 Te 1.96
O 0.8148 0.8148 0.3507  1 Te 1.96
O 0.8148 0.8148 0.6493  1 Te 1.96

Results
- energy relative to the lowest polymorph listed for this composition (meV per atom) = 42.9
- V (A^3/atom) = 13.22
- total magnetic moment (μB per formula unit) = 0.00
- D(E_F) (states/eV per cell) = 0.00
- uncorrected formation energy (eV per atom) = -2.554
- SG = No. 136

***

[9]
A plane-wave DFT calculation with PBE was carried out for AcTb2DySb4 after structural relaxation.

Unit cell a=7.7971 b=4.5057 c=7.7988 alpha=90.00 beta=109.42 gamma=90.00
With the nearest neighbours (Å) after each atom.
Positions (direct):
Ac 0.0000 0.0000 0.0000  6 Sb 3.28
Tb 0.0000 0.5000 0.5000  6 Sb 3.19
Tb 0.5000 0.0000 0.5000  6 Sb 3.09
Dy 0.5000 0.5000 0.0000  6 Sb 3.18
Sb 0.2580 0.0000 0.7435  3 Tb 3.09-3.19, 2 Dy 3.18, 1 Ac 3.28
Sb 0.2654 0.5000 0.2645  3 Tb 3.09-3.19, 1 Dy 3.18, 2 Ac 3.28
Sb 0.7346 0.5000 0.7355  3 Tb 3.09-3.19, 1 Dy 3.18, 2 Ac 3.28
Sb 0.7420 0.0000 0.2565  3 Tb 3.09-3.19, 2 Dy 3.18, 1 Ac 3.28

Results
- V (A^3/atom) = 32.30
- total magnetic moment (μB per formula unit) = 0.00
- D(E_F) (states/eV per cell) = 1.03
- uncorrected formation energy (eV per atom) = -1.127
- SG = No. 10

***

[10]
A plane-wave DFT calculation with PBE was carried out for InHgBrF2 after structural relaxation.

Unit cell a=4.4356 b=4.4356 c=5.6902 alpha=90.00 beta=90.00 gamma=90.00
With the nearest neighbours (Å) after each atom.
Positions (direct):
In 0.0000 0.0000 0.0000  4 F 2.22
Hg 0.5000 0.5000 0.5000  4 Br 3.14
Br 0.0000 0.0000 0.5000  2 In 2.85, 4 Hg 3.14
F 0.0000 0.5000 0.0000  2 In 2.22
F 0.5000 0.0000 0.0000  2 In 2.22

Results
- energy relative to the lowest polymorph listed for this composition (meV per atom) = 0.0
- V (A^3/atom) = 22.39
- total magnetic moment (μB per formula unit) = 0.00
- D(E_F) (states/eV per cell) = 2.93
- uncorrected formation energy (eV per atom) = -1.312
- SG = No. 123

***

[11]
A plane-wave DFT calculation with PBE was carried out for ScCoCl4 after structural relaxation.

Unit cell a=5.7417 b=5.7417 c=5.7417 alpha=60.00 beta=60.00 gamma=60.00
With the nearest neighbours (Å) after each atom.
Positions (direct):
Sc 0.0000 0.0000 0.0000  12 Cl 3.37, 4 Co 3.52
Co 0.2500 0.2500 0.2500  12 Cl 3.37, 4 Sc 3.52
Cl 0.1262 0.6246 0.6246  6 Cl 2.86-2.88
Cl 0.6246 0.1262 0.6246  6 Cl 2.86-2.88
Cl 0.6246 0.6246 0.1262  6 Cl 2.86-2.88
Cl 0.6246 0.6246 0.6246  6 Cl 2.86-2.88

Results
- V (A^3/atom) = 22.31
- total magnetic moment (μB per formula unit) = 3.78
- D(E_F) (states/eV per cell) = 6.22
- uncorrected formation energy (eV per atom) = 0.510
- SG = No. 216

***

[12]
A plane-wave DFT calculation with PBE was carried out for LiGdTh2 after structural relaxation.

Unit cell a=3.4329 b=3.4329 c=37.7386 alpha=90.00 beta=90.00 gamma=120.00
With the nearest neighbours (Å) after each atom.
Positions (direct):
Li 0.0000 0.0000 0.0000  2 Th 3.31, 6 Li 3.43
Li 0.3333 0.6667 0.6667  2 Th 3.31, 6 Li 3.43
Li 0.6667 0.3333 0.3333  2 Th 3.31, 6 Li 3.43
Gd 0.0000 0.0000 0.5000  6 Gd 3.43, 6 Th 3.58
Gd 0.3333 0.6667 0.1667  6 Gd 3.43, 6 Th 3.58
Gd 0.6667 0.3333 0.8333  6 Gd 3.43, 6 Th 3.58
Th 0.0000 0.0000 0.0876  1 Li 3.31, 6 Th 3.43, 3 Gd 3.58
Th 0.0000 0.0000 0.9124  1 Li 3.31, 6 Th 3.43, 3 Gd 3.58
Th 0.3333 0.6667 0.5791  1 Li 3.31, 6 Th 3.43, 3 Gd 3.58
Th 0.3333 0.6667 0.7543  1 Li 3.31, 6 Th 3.43, 3 Gd 3.58
Th 0.6667 0.3333 0.2457  1 Li 3.31, 6 Th 3.43, 3 Gd 3.58
Th 0.6667 0.3333 0.4209  1 Li 3.31, 6 Th 3.43, 3 Gd 3.58

Results
- ΔE_f (meV per atom) = 258
- energy relative to the lowest polymorph listed for this composition (meV per atom) = 88.2
- V (A^3/atom) = 32.10
- total magnetic moment (μB per formula unit) = 7.30
- D(E_F) (states/eV per cell) = 14.77
- SG = No. 166

***

What is the V in the eighth record? 13.22 A^3/atom

***

Among the records above, which one has the highest V? AcTb2DySb4

***

Which of these has the highest V? AcTb2DySb4